# Na2CaAg2Sn2

A geometry-optimized Na2CaAg2Sn2 structure (PBE-GGA, Alexandria).

Cell: 4.9673 4.9673 23.5876 Å, 90.00 90.00 120.00°
With the nearest neighbours (Å) after each atom.
Space group R-3m (No. 166, hexagonal axes)
Unique sites:
Na  0.0000  0.0000  0.1425 x6  1 Ag 3.03, 3 Na 3.09, 3 Sn 3.27, 1 Ca 3.36
Ca  0.0000  0.0000  0.0000 x3  6 Ag 3.22, 2 Na 3.36, 6 Sn 3.38
Ag  0.0000  0.0000  0.2710 x6  3 Sn 2.89, 1 Na 3.03, 3 Ca 3.22
Sn  0.0000  0.0000  0.4093 x6  3 Ag 2.89

Calculated values
* final energy: -61.4 eV per cell
* formation enthalpy at 0 K: -204 kJ/mol of formula units


# NaCa2Ag2Sn2

A geometry-optimized NaCa2Ag2Sn2 structure (PBE-GGA, Alexandria).

Cell: 4.9086 4.9086 27.8529 Å, 90.00 90.00 120.00°
With the nearest neighbours (Å) after each atom.
Space group R-3m (No. 166, hexagonal axes)
Unique sites:
Na  0.0000  0.0000  0.0000 x3  6 Ag 3.38, 2 Ca 3.51, 6 Sn 3.53
Ca  0.0000  0.0000  0.1260 x6  3 Sn 3.16, 3 Ag 3.29, 1 Na 3.51
Ag  0.0000  0.0000  0.3996 x6  3 Sn 2.85
Sn  0.0000  0.0000  0.2575 x6  3 Ag 2.85, 3 Ca 3.16

Calculated values
* final energy: -63.3 eV per cell
* formation enthalpy at 0 K: -200 kJ/mol of formula units


# NaSrCa2Ag

A geometry-optimized NaSrCa2Ag structure (PBE-GGA, Alexandria).

Cell: 5.8833 5.8833 5.8496 Å, 90.00 90.00 90.00°
With the nearest neighbours (Å) after each atom.
Space group P4/mmm (No. 123)
Unique sites:
Na  0.0000  0.0000  0.0000 x1  2 Ag 2.92
Sr  0.5000  0.5000  0.0000 x1  8 Ca 4.15, 4 Na 4.16
Ca  0.0000  0.5000  0.5000 x2  2 Ag 2.94
Ag  0.0000  0.0000  0.5000 x1  2 Na 2.92, 4 Ca 2.94

Calculated values
* energy above the lowest structure with this stoichiometry: 53.1 meV/atom
* final energy: -9.9 eV per cell
* formation enthalpy at 0 K: 0 kJ/mol of formula units